Entry 1:
First-principles (PBE) data for an optimized crystal structure of BeNb4Ga, as listed in Alexandria via LeMat-Bulk.

## Properties
- E_form (eV per atom) = -0.232
- electronic total energy (eV per atom) = -8.070

Cell lengths 5.1264, 6.1558, 6.1558 Å; angles 90.00, 90.00, 90.00 degrees
With the nearest neighbours (Å) after each atom.
Element x y z (fractional)
Be 0.2500 0.5000 0.5000  8 Nb 2.53, 2 Be 2.56
Be 0.7500 0.5000 0.5000  8 Nb 2.53, 2 Be 2.56
Nb 0.0000 0.1745 0.6409  2 Be 2.53, 1 Nb 2.76, 2 Ga 2.77
Nb 0.0000 0.8255 0.3591  2 Be 2.53, 1 Nb 2.76, 2 Ga 2.77
Nb 0.0000 0.3591 0.1745  2 Be 2.53, 1 Nb 2.76, 2 Ga 2.77
Nb 0.0000 0.6409 0.8255  2 Be 2.53, 1 Nb 2.76, 2 Ga 2.77
Nb 0.5000 0.8255 0.6409  2 Be 2.53, 1 Nb 2.76, 2 Ga 2.77
Nb 0.5000 0.1745 0.3591  2 Be 2.53, 1 Nb 2.76, 2 Ga 2.77
Nb 0.5000 0.6409 0.1745  2 Be 2.53, 1 Nb 2.76, 2 Ga 2.77
Nb 0.5000 0.3591 0.8255  2 Be 2.53, 1 Nb 2.76, 2 Ga 2.77
Ga 0.2500 0.0000 0.0000  2 Ga 2.56, 8 Nb 2.77
Ga 0.7500 0.0000 0.0000  2 Ga 2.56, 8 Nb 2.77


Entry 2:
First-principles (PBE) data for an optimized crystal structure of BeNbGa3, as listed in Alexandria via LeMat-Bulk.

## Properties
- E_form (eV per atom) = 1.054
- energy relative to the lowest polymorph listed for this composition (kJ per mole of atoms) = 45.7
- electronic total energy (eV per atom) = -3.522

Cell lengths 5.0359, 5.0359, 5.0359 Å; angles 90.00, 90.00, 90.00 degrees
With the nearest neighbours (Å) after each atom.
Element x y z (fractional)
Be 0.5000 0.5000 0.5000  12 Ga 3.56
Nb 0.0000 0.0000 0.0000  6 Ga 2.52
Ga 0.0000 0.5000 0.0000  2 Nb 2.52
Ga 0.0000 0.0000 0.5000  2 Nb 2.52
Ga 0.5000 0.0000 0.0000  2 Nb 2.52


Entry 3:
First-principles (PBE) data for an optimized crystal structure of Be3NbGa, as listed in Alexandria via LeMat-Bulk.

## Properties
- E_form (eV per atom) = 0.815
- energy relative to the lowest polymorph listed for this composition (kJ per mole of atoms) = 0.0
- electronic total energy (eV per atom) = -4.040

Cell lengths 4.0643, 4.0643, 4.0643 Å; angles 90.00, 90.00, 90.00 degrees
With the nearest neighbours (Å) after each atom.
Element x y z (fractional)
Be 0.0000 0.5000 0.0000  2 Ga 2.03
Be 0.0000 0.0000 0.5000  2 Ga 2.03
Be 0.5000 0.0000 0.0000  2 Ga 2.03
Nb 0.5000 0.5000 0.5000  12 Be 2.87
Ga 0.0000 0.0000 0.0000  6 Be 2.03


Entry 4:
First-principles (PBE) data for an optimized crystal structure of BeNbGaOs, as listed in Alexandria via LeMat-Bulk.

## Properties
- E_form (eV per atom) = -0.151
- electronic total energy (eV per atom) = -7.164

Cell lengths 4.3196, 4.3196, 4.3196 Å; angles 60.00, 60.00, 60.00 degrees
With the nearest neighbours (Å) after each atom.
Element x y z (fractional)
Be 0.2500 0.2500 0.2500  4 Nb 2.65, 4 Ga 2.65
Nb 0.0000 0.0000 0.0000  4 Os 2.65, 4 Be 2.65
Os 0.7500 0.7500 0.7500  4 Nb 2.65, 4 Ga 2.65
Ga 0.5000 0.5000 0.5000  4 Be 2.65, 4 Os 2.65


Entry 5:
First-principles (PBE) data for an optimized crystal structure of BeNbGa2P, as listed in Alexandria via LeMat-Bulk.

## Properties
- E_form (eV per atom) = 0.806
- electronic total energy (eV per atom) = -4.246

Cell lengths 4.5687, 4.6914, 4.5687 Å; angles 90.00, 90.00, 90.00 degrees
With the nearest neighbours (Å) after each atom.
Element x y z (fractional)
P 0.0000 0.0000 0.0000  4 Ga 2.28, 2 Nb 2.35
Nb 0.0000 0.5000 0.0000  2 P 2.35
Ga 0.0000 0.0000 0.5000  2 P 2.28
Ga 0.5000 0.0000 0.0000  2 P 2.28
Be 0.5000 0.5000 0.5000  4 Nb 3.23, 8 Ga 3.27


Entry 6:
First-principles (PBE) data for an optimized crystal structure of Be2NbGaPb, as listed in Alexandria via LeMat-Bulk.

## Properties
- E_form (eV per atom) = 1.192
- electronic total energy (eV per atom) = -3.659

Cell lengths 4.7003, 5.4463, 4.7003 Å; angles 90.00, 90.00, 90.00 degrees
With the nearest neighbours (Å) after each atom.
Element x y z (fractional)
Pb 0.0000 0.5000 0.0000  2 Nb 2.72
Be 0.0000 0.0000 0.5000  2 Nb 2.35
Be 0.5000 0.0000 0.0000  2 Nb 2.35
Nb 0.0000 0.0000 0.0000  4 Be 2.35
Ga 0.5000 0.5000 0.5000  4 Pb 3.32, 8 Be 3.60